# K2AlMo (PBE, optimized geometry)
# * spin magnetization: 0.746 μB/atom
# * DFT formation energy: 0.966 eV per atom
# * N(E_F): 1.5 states/eV per cell
# * E_tot: -0.2371 Ry per atom
# * calculated density: 2.34 g/cm³
data_K2AlMo
_space_group_name_H-M_alt 'P 1'
_space_group_IT_number 1
_space_group_name_Hall 'P 1'
_cell_length_a 6.401
_cell_length_b 6.401
_cell_length_c 6.401
_cell_angle_alpha 138.27
_cell_angle_beta 123.46
_cell_angle_gamma 72.68
loop_
_atom_site_label
_atom_site_fract_x
_atom_site_fract_y
_atom_site_fract_z
K1 0.000 0.000 0.000
K2 0.692 0.192 0.500
Al1 0.406 0.406 0.000
Mo1 0.295 0.795 0.500